(1)
{"formula": "Pm2AgAs", "functional": "GGA-PBE", "state": "relaxed", "e_form_ev_per_atom": -0.772, "de_polymorph_kcal_per_mol_atoms": 0.15, "mass_density_g_cm3": 6.9, "lattice": [[2.1236, 1.2261, 7.2358], [-2.1236, 1.2261, 7.2358], [0.0000, -2.4522, 7.2358]], "species": ["Pm", "Pm", "Ag", "As"], "frac_coords": [[0.2413, 0.2413, 0.2413], [0.7587, 0.7587, 0.7587], [0.0000, 0.0000, 0.0000], [0.5000, 0.5000, 0.5000]]}

(2)
{"formula": "Na2AlN", "functional": "GGA-PBE", "state": "relaxed", "raw_formation_energy_ev_per_atom": 0.90, "de_polymorph_kcal_per_mol_atoms": 1.19, "mass_density_g_cm3": 2.1, "lattice": [[0.0000, 3.2626, 3.2626], [3.2626, 0.0000, 3.2626], [3.2626, 3.2626, 0.0000]], "species": ["Na", "Na", "Al", "N"], "frac_coords": [[0.2500, 0.2500, 0.2500], [0.7500, 0.7500, 0.7500], [0.0000, 0.0000, 0.0000], [0.5000, 0.5000, 0.5000]]}

(3)
{"formula": "HgN", "functional": "GGA-PBE", "state": "relaxed", "raw_formation_energy_ev_per_atom": 1.55, "de_polymorph_kcal_per_mol_atoms": 34.49, "mass_density_g_cm3": 8.7, "lattice": [[0.0000, 4.2000, 5.6679], [3.4478, 0.0000, 5.6679], [3.4478, 4.2000, 0.0000]], "species": ["Hg", "Hg", "Hg", "Hg", "N", "N", "N", "N"], "frac_coords": [[0.1016, 0.6484, 0.1016], [0.3516, 0.8984, 0.3516], [0.6484, 0.1016, 0.6484], [0.8984, 0.3516, 0.8984], [0.0226, 0.0226, 0.7274], [0.2726, 0.2726, 0.9774], [0.7274, 0.7274, 0.0226], [0.9774, 0.9774, 0.2726]]}

(4)
{"formula": "Sm3Pu2Tc7", "functional": "GGA-PBE", "state": "relaxed", "e_form_ev_per_atom": -0.025, "mass_density_g_cm3": 11.5, "lattice": [[2.9073, 1.6785, 8.0351], [-2.9073, 1.6785, 8.0351], [0.0000, -3.3570, 8.0351]], "species": ["Sm", "Sm", "Sm", "Pu", "Pu", "Tc", "Tc", "Tc", "Tc", "Tc", "Tc", "Tc"], "frac_coords": [[0.0000, 0.0000, 0.0000], [0.1434, 0.1434, 0.1434], [0.8566, 0.8566, 0.8566], [0.3335, 0.3335, 0.3335], [0.6665, 0.6665, 0.6665], [0.0813, 0.5809, 0.5809], [0.4191, 0.4191, 0.9187], [0.4191, 0.9187, 0.4191], [0.5000, 0.5000, 0.5000], [0.5809, 0.0813, 0.5809], [0.5809, 0.5809, 0.0813], [0.9187, 0.4191, 0.4191]]}

(5)
{"formula": "OsC2", "functional": "GGA-PBE", "state": "relaxed", "e_form_ev_per_atom": 1.190, "de_polymorph_kcal_per_mol_atoms": 14.45, "mass_density_g_cm3": 13.4, "lattice": [[-2.2528, 2.2528, 2.6089], [2.2528, -2.2528, 2.6089], [2.2528, 2.2528, -2.6089]], "species": ["Os", "Os", "C", "C", "C", "C"], "frac_coords": [[0.2500, 0.2500, 0.0000], [0.7500, 0.7500, 0.0000], [0.1159, 0.6159, 0.7319], [0.3841, 0.1159, 0.5000], [0.6159, 0.8841, 0.5000], [0.8841, 0.3841, 0.2681]]}

(6)
{"formula": "ThTcC", "functional": "GGA-PBE", "state": "relaxed", "e_form_ev_per_atom": -0.096, "de_polymorph_kcal_per_mol_atoms": 0.99, "mass_density_g_cm3": 10.2, "lattice": [[5.8944, 0.0000, 0.0000], [0.0000, 3.5811, 0.0000], [0.0000, 0.0000, 5.2537]], "species": ["Th", "Th", "Tc", "Tc", "C", "C"], "frac_coords": [[0.2500, 0.0000, 0.2445], [0.7500, 0.0000, 0.7555], [0.2500, 0.5000, 0.7438], [0.7500, 0.5000, 0.2562], [0.0000, 0.5000, 0.5000], [0.5000, 0.5000, 0.5000]]}

(7)
{"formula": "CrRuAu2", "functional": "GGA-PBE", "state": "relaxed", "e_form_ev_per_atom": 0.297, "de_polymorph_kcal_per_mol_atoms": 3.56, "mass_density_g_cm3": 14.2, "lattice": [[0.0000, 2.7767, 4.1486], [2.7706, 0.0000, 4.1486], [2.7706, 2.7767, 0.0000]], "species": ["Cr", "Ru", "Au", "Au"], "frac_coords": [[0.0000, 0.0000, 0.0000], [0.5000, 0.5000, 0.5000], [0.2500, 0.2500, 0.2500], [0.7500, 0.7500, 0.7500]]}

(8)
{"formula": "TaFeSn2", "functional": "GGA-PBE", "state": "relaxed", "e_form_ev_per_atom": 0.459, "de_polymorph_kcal_per_mol_atoms": 0.00, "mass_density_g_cm3": 10.9, "lattice": [[0.0000, 3.3105, 3.3105], [3.3105, 0.0000, 3.3105], [3.3105, 3.3105, 0.0000]], "species": ["Ta", "Fe", "Sn", "Sn"], "frac_coords": [[0.0000, 0.0000, 0.0000], [0.5000, 0.5000, 0.5000], [0.2500, 0.2500, 0.2500], [0.7500, 0.7500, 0.7500]]}

(9)
{"formula": "Pu3Br5Cl", "functional": "GGA-PBE", "state": "relaxed", "raw_formation_energy_ev_per_atom": -1.42, "mass_density_g_cm3": 6.0, "lattice": [[5.1011, -14.9889, 0.0000], [5.1011, 14.9889, 0.0000], [0.0000, 0.0000, 4.2162]], "species": ["Pu", "Pu", "Pu", "Pu", "Pu", "Pu", "Br", "Br", "Br", "Br", "Br", "Br", "Br", "Br", "Br", "Br", "Cl", "Cl"], "frac_coords": [[0.0000, 0.0000, 0.0000], [0.1595, 0.8405, 0.5000], [0.3296, 0.6704, 0.0000], [0.5000, 0.5000, 0.5000], [0.6704, 0.3296, 0.0000], [0.8405, 0.1595, 0.5000], [0.1273, 0.4592, 0.5000], [0.2065, 0.2065, 0.5000], [0.2303, 0.7697, 0.0000], [0.4306, 0.5694, 0.0000], [0.4592, 0.1273, 0.5000], [0.5408, 0.8727, 0.5000], [0.5694, 0.4306, 0.0000], [0.7697, 0.2303, 0.0000], [0.7935, 0.7935, 0.5000], [0.8727, 0.5408, 0.5000], [0.0967, 0.9033, 0.0000], [0.9033, 0.0967, 0.0000]]}

(10)
{"formula": "KNa2SiSe4", "functional": "GGA-PBE", "state": "relaxed", "raw_formation_energy_ev_per_atom": -0.82, "mass_density_g_cm3": 3.0, "lattice": [[-3.7728, 3.7728, 4.2155], [3.7728, -3.7728, 4.2155], [3.7728, 3.7728, -4.2155]], "species": ["K", "Na", "Na", "Si", "Se", "Se", "Se", "Se"], "frac_coords": [[0.0000, 0.0000, 0.0000], [0.2500, 0.7500, 0.5000], [0.7500, 0.2500, 0.5000], [0.5000, 0.5000, 0.0000], [0.1717, 0.1717, 0.6432], [0.4715, 0.8283, 0.0000], [0.5285, 0.5285, 0.3568], [0.8283, 0.4715, 0.0000]]}

(11)
{"formula": "Ca2InS", "functional": "GGA-PBE", "state": "relaxed", "raw_formation_energy_ev_per_atom": -0.62, "de_polymorph_kcal_per_mol_atoms": 6.19, "mass_density_g_cm3": 3.6, "lattice": [[0.0000, 3.7492, 3.7492], [3.7492, 0.0000, 3.7492], [3.7492, 3.7492, 0.0000]], "species": ["Ca", "Ca", "In", "S"], "frac_coords": [[0.2500, 0.2500, 0.2500], [0.7500, 0.7500, 0.7500], [0.0000, 0.0000, 0.0000], [0.5000, 0.5000, 0.5000]]}

(12)
{"formula": "MgTe2S", "functional": "GGA-PBE", "state": "relaxed", "raw_formation_energy_ev_per_atom": -0.02, "de_polymorph_kcal_per_mol_atoms": 0.10, "mass_density_g_cm3": 3.9, "lattice": [[-2.9397, 2.9397, 7.6533], [2.9397, -2.9397, 7.6533], [2.9397, 2.9397, -7.6533]], "species": ["Mg", "Mg", "Te", "Te", "Te", "Te", "S", "S"], "frac_coords": [[0.0000, 0.0000, 0.0000], [0.7500, 0.2500, 0.5000], [0.1616, 0.6250, 0.0366], [0.3750, 0.4116, 0.5366], [0.5884, 0.1250, 0.9634], [0.8750, 0.8384, 0.4634], [0.2500, 0.7500, 0.5000], [0.5000, 0.5000, 0.0000]]}